## P
Compound: NiBiSb2I
Source: Alexandria
Functional: PBE
Structure: relaxed

The spin magnetization comes out at 0.00 Bohr magnetons per cell. For the volume, the calculation gives 27.15 Å³/atom.

Cell and atoms, written as POSCAR:
```
NiBiSb2I
1.0
5.1103 0.0000 0.0000
0.0000 5.1103 0.0000
0.0000 0.0000 5.1978
Ni Bi Sb I
1 1 2 1
Direct
0.0000 0.0000 0.0000
0.5000 0.5000 0.5000
0.0000 0.5000 0.0000
0.5000 0.0000 0.0000
0.0000 0.0000 0.5000
```

## Q
Compound: NiBiSb2I
Source: Alexandria
Functional: PBE
Structure: relaxed

The spin magnetization comes out at 1.88 Bohr magnetons per cell. For the volume, the calculation gives 41.67 Å³/atom.

Cell and atoms, written as POSCAR:
```
NiBiSb2I
1.0
5.8660 0.0000 0.0000
0.0000 5.8660 0.0000
0.0000 0.0000 6.0545
Ni Bi Sb I
1 1 2 1
Direct
0.0000 0.0000 0.0000
0.5000 0.5000 0.5000
0.0000 0.5000 0.5000
0.5000 0.0000 0.5000
0.5000 0.5000 0.0000
```

Least stable of them? Q.

## P
Compound: NiBiTe2I
Source: Alexandria
Functional: PBE
Structure: relaxed

The spin magnetization comes out at 0.00 Bohr magnetons per cell. For the volume, the calculation gives 27.53 Å³/atom.

Cell and atoms, written as POSCAR:
```
NiBiTe2I
1.0
5.1378 0.0000 0.0000
0.0000 5.1378 0.0000
0.0000 0.0000 5.2144
Ni Bi Te I
1 1 2 1
Direct
0.0000 0.0000 0.0000
0.5000 0.5000 0.5000
0.0000 0.5000 0.0000
0.5000 0.0000 0.0000
0.0000 0.0000 0.5000
```

## Q
Compound: NiBiTe2I
Source: Alexandria
Functional: PBE
Structure: relaxed

The spin magnetization comes out at 1.47 Bohr magnetons per cell. For the volume, the calculation gives 42.89 Å³/atom.

Cell and atoms, written as POSCAR:
```
NiBiTe2I
1.0
5.9787 0.0000 0.0000
0.0000 5.9787 0.0000
0.0000 0.0000 5.9993
Ni Bi Te I
1 1 2 1
Direct
0.0000 0.0000 0.0000
0.5000 0.5000 0.5000
0.0000 0.5000 0.5000
0.5000 0.0000 0.5000
0.5000 0.5000 0.0000
```

Least stable of them? Q.

## P
Compound: NpBiI
Source: Alexandria
Functional: PBE
Structure: relaxed

The spin magnetization comes out at 3.95 Bohr magnetons per cell. For the volume, the calculation gives 30.51 Å³/atom.

Cell and atoms, written as POSCAR:
```
NpBiI
1.0
5.4012 0.0000 0.0000
-2.7006 4.6776 0.0000
0.0000 0.0000 3.6224
Np Bi I
1 1 1
Direct
0.0000 0.0000 0.0000
0.6667 0.3333 0.5000
0.3333 0.6667 0.0000
```

## Q
Compound: NpBiI
Source: Alexandria
Functional: PBE
Structure: relaxed

The spin magnetization comes out at 8.95 Bohr magnetons per cell. For the volume, the calculation gives 34.07 Å³/atom.

Cell and atoms, written as POSCAR:
```
NpBiI
1.0
3.5989 0.0000 0.0000
-0.0301 3.6020 0.0000
-0.0660 -0.0045 15.7686
Np Bi I
2 2 2
Direct
0.2404 0.2568 0.2503
0.7596 0.7432 0.7497
0.2565 0.2436 0.6052
0.7435 0.7564 0.3948
0.2617 0.2435 0.8767
0.7383 0.7565 0.1233
```

Least stable of them? P.

## P
Compound: BiIO6
Source: Alexandria
Functional: PBE
Structure: relaxed

The spin magnetization comes out at 0.00 Bohr magnetons per cell. For the volume, the calculation gives 13.42 Å³/atom.

Cell and atoms, written as POSCAR:
```
BiIO6
1.0
2.6005 1.5014 4.5826
-2.6005 1.5014 4.5826
0.0000 -3.0028 4.5826
Bi I O
1 1 6
Direct
0.0000 0.0000 0.0000
0.5000 0.5000 0.5000
0.1209 0.4177 0.7279
0.2721 0.8791 0.5823
0.4177 0.7279 0.1209
0.5823 0.2721 0.8791
0.7279 0.1209 0.4177
0.8791 0.5823 0.2721
```

## Q
Compound: BiIO6
Source: Alexandria
Functional: PBE
Structure: relaxed

The spin magnetization comes out at 4.04 Bohr magnetons per cell. For the volume, the calculation gives 15.85 Å³/atom.

Cell and atoms, written as POSCAR:
```
BiIO6
1.0
4.3905 -3.3568 0.0000
4.3905 3.3568 0.0000
-0.4533 0.0000 8.6022
Bi I O
2 2 12
Direct
0.0013 0.9987 0.7500
0.9987 0.0013 0.2500
0.0000 0.5000 0.5000
0.5000 0.0000 0.0000
0.1105 0.5726 0.7038
0.1521 0.1638 0.0161
0.1638 0.1521 0.5161
0.2741 0.5771 0.4106
0.4229 0.7259 0.0894
0.4274 0.8895 0.7962
0.5726 0.1105 0.2038
0.5771 0.2741 0.9106
0.7259 0.4229 0.5894
0.8362 0.8479 0.4839
0.8479 0.8362 0.9839
0.8895 0.4274 0.2962
```

Least stable of them? Q.

## P
Compound: BiI2O
Source: Alexandria
Functional: PBE
Structure: relaxed

The spin magnetization comes out at 0.00 Bohr magnetons per cell. For the volume, the calculation gives 25.95 Å³/atom.

Cell and atoms, written as POSCAR:
```
BiI2O
1.0
0.0000 3.7303 3.7303
3.7303 0.0000 3.7303
3.7303 3.7303 0.0000
Bi I O
1 2 1
Direct
0.0000 0.0000 0.0000
0.2500 0.2500 0.2500
0.7500 0.7500 0.7500
0.5000 0.5000 0.5000
```

## Q
Compound: BiI2O
Source: Alexandria
Functional: PBE
Structure: relaxed

The spin magnetization comes out at 0.00 Bohr magnetons per cell. For the volume, the calculation gives 34.55 Å³/atom.

Cell and atoms, written as POSCAR:
```
BiI2O
1.0
-3.4582 3.4582 5.7784
3.4582 -3.4582 5.7784
3.4582 3.4582 -5.7784
Bi I O
2 4 2
Direct
0.3750 0.6250 0.7500
0.6250 0.3750 0.2500
0.0000 0.0000 0.0000
0.0000 0.0000 0.5000
0.0000 0.5000 0.0000
0.5000 0.0000 0.5000
0.1250 0.8750 0.2500
0.8750 0.1250 0.7500
```

Least stable of them? Q.

## P
Compound: BiI2O2
Source: Alexandria
Functional: PBE
Structure: relaxed

The spin magnetization comes out at 2.46 Bohr magnetons per cell. For the volume, the calculation gives 32.80 Å³/atom.

Cell and atoms, written as POSCAR:
```
BiI2O2
1.0
6.2163 0.0000 0.0000
0.0000 6.2163 0.0000
0.0000 0.0000 4.2435
Bi I O
1 2 2
Direct
0.0000 0.0000 0.0000
0.0000 0.5000 0.0000
0.5000 0.0000 0.0000
0.0000 0.0000 0.5000
0.5000 0.5000 0.5000
```

## Q
Compound: BiI2O2
Source: Alexandria
Functional: PBE
Structure: relaxed

The spin magnetization comes out at 0.00 Bohr magnetons per cell. For the volume, the calculation gives 27.65 Å³/atom.

Cell and atoms, written as POSCAR:
```
BiI2O2
1.0
4.3695 0.0000 0.0000
0.0000 4.3695 0.0000
0.0000 0.0000 7.2417
Bi I O
1 2 2
Direct
0.0000 0.0000 0.0000
0.0000 0.0000 0.5000
0.5000 0.5000 0.5000
0.0000 0.5000 0.0000
0.5000 0.0000 0.0000
```

## R
Compound: BiI2O2
Source: Alexandria
Functional: PBE
Structure: relaxed

The spin magnetization comes out at 0.00 Bohr magnetons per cell. For the volume, the calculation gives 21.34 Å³/atom.

Cell and atoms, written as POSCAR:
```
BiI2O2
1.0
5.0872 0.0000 0.0000
0.0000 5.0872 0.0000
0.0000 0.0000 4.1224
Bi I O
1 2 2
Direct
0.0000 0.0000 0.0000
0.0000 0.5000 0.5000
0.5000 0.0000 0.5000
0.5000 0.5000 0.0000
0.5000 0.5000 0.5000
```

Least stable of them? R.

## P
Compound: Bi2IO
Source: Alexandria
Functional: PBE
Structure: relaxed

The spin magnetization comes out at 0.00 Bohr magnetons per cell. For the volume, the calculation gives 25.11 Å³/atom.

Cell and atoms, written as POSCAR:
```
Bi2IO
1.0
0.0000 3.6896 3.6896
3.6896 0.0000 3.6896
3.6896 3.6896 0.0000
Bi I O
2 1 1
Direct
0.2500 0.2500 0.2500
0.7500 0.7500 0.7500
0.0000 0.0000 0.0000
0.5000 0.5000 0.5000
```

## Q
Compound: Bi2IO
Source: Alexandria
Functional: PBE
Structure: relaxed

The spin magnetization comes out at 0.00 Bohr magnetons per cell. For the volume, the calculation gives 32.53 Å³/atom.

Cell and atoms, written as POSCAR:
```
Bi2IO
1.0
-2.9692 2.9692 7.3787
2.9692 -2.9692 7.3787
2.9692 2.9692 -7.3787
Bi I O
4 2 2
Direct
0.3750 0.2190 0.3440
0.7810 0.1250 0.1560
0.8750 0.0310 0.6560
0.9690 0.6250 0.8440
0.2500 0.7500 0.5000
0.5000 0.5000 0.0000
0.0000 0.0000 0.0000
0.7500 0.2500 0.5000
```

Least stable of them? P.

## P
Compound: BiI3O
Source: Alexandria
Functional: PBE
Structure: relaxed

The spin magnetization comes out at 2.00 Bohr magnetons per cell. For the volume, the calculation gives 46.38 Å³/atom.

Cell and atoms, written as POSCAR:
```
BiI3O
1.0
6.1438 0.0000 0.0000
0.0000 6.1438 0.0000
0.0000 0.0000 6.1438
Bi I O
1 3 1
Direct
0.0000 0.0000 0.0000
0.0000 0.0000 0.5000
0.0000 0.5000 0.0000
0.5000 0.0000 0.0000
0.5000 0.5000 0.5000
```

## Q
Compound: BiI3O
Source: Alexandria
Functional: PBE
Structure: relaxed

The spin magnetization comes out at 0.00 Bohr magnetons per cell. For the volume, the calculation gives 27.75 Å³/atom.

Cell and atoms, written as POSCAR:
```
BiI3O
1.0
5.1770 0.0000 0.0000
0.0000 5.1770 0.0000
0.0000 0.0000 5.1770
Bi I O
1 3 1
Direct
0.0000 0.0000 0.0000
0.0000 0.5000 0.5000
0.5000 0.0000 0.5000
0.5000 0.5000 0.0000
0.5000 0.5000 0.5000
```

Least stable of them? P.